Record 1
Dy3Cd2Hg2 after structural relaxation, computed with PBE.

Structure (POSCAR):
```
Dy3Cd2Hg2
1.0
-2.245 -4.544 1.540
2.085 0.471 -4.696
8.057 -0.464 1.297
Dy Cd Hg
3 2 2
direct
0.000 0.000 0.000
0.557 0.395 0.719
0.443 0.605 0.281
0.722 0.309 0.136
0.278 0.691 0.864
0.148 0.882 0.414
0.852 0.118 0.586
```

Summary:
**SG**: P-1, No. 2
**DFT total energy**: -2.60 eV per atom

---

Record 2
Dy3CdHg4 after structural relaxation, computed with PBE.

Structure (POSCAR):
```
Dy3CdHg4
1.0
-0.673 -2.742 2.180
6.804 -0.931 0.930
-3.248 7.260 5.210
Dy Cd Hg
3 1 4
direct
0.222 0.222 0.444
0.778 0.778 0.556
0.000 0.500 0.000
0.500 0.000 0.000
0.374 0.152 0.749
0.626 0.848 0.251
0.626 0.403 0.251
0.374 0.597 0.749
```

Summary:
**SG**: Immm, No. 71
**E above lowest polymorph**: 2.90 kcal/mol of atoms

---

Record 3
DyCd3Hg3 after structural relaxation, computed with PBE.

Structure (POSCAR):
```
DyCd3Hg3
1.0
7.763 0.000 0.000
0.000 7.763 0.000
0.000 0.000 7.763
Cd Hg Dy
6 6 2
direct
0.250 0.000 0.500
0.000 0.500 0.250
0.500 0.750 0.000
0.750 0.000 0.500
0.000 0.500 0.750
0.500 0.250 0.000
0.000 0.250 0.500
0.000 0.750 0.500
0.500 0.000 0.750
0.750 0.500 0.000
0.500 0.000 0.250
0.250 0.500 0.000
0.500 0.500 0.500
0.000 0.000 0.000
```

Summary:
**SG**: Pm-3n, No. 223
**E above lowest polymorph**: 13.31 kcal/mol of atoms

---

Record 4
Dy6Cd3Hg after structural relaxation, computed with PBE.

Structure (POSCAR):
```
Dy6Cd3Hg
1.0
5.313 0.000 0.000
0.000 8.775 -2.963
0.000 0.010 11.647
Dy Cd Hg
12 6 2
direct
0.250 0.464 0.088
0.750 0.536 0.912
0.250 0.131 0.159
0.750 0.869 0.841
0.250 0.659 0.675
0.750 0.341 0.325
0.250 0.250 0.497
0.750 0.750 0.503
0.250 0.844 0.311
0.750 0.156 0.689
0.250 0.102 0.873
0.750 0.898 0.127
0.250 0.527 0.376
0.750 0.473 0.624
0.250 0.388 0.783
0.750 0.612 0.217
0.250 0.773 0.974
0.750 0.227 0.026
0.250 0.950 0.600
0.750 0.050 0.400
```

Summary:
**SG**: P2_1/m, No. 11
**DFT total energy**: -3.32 eV per atom

---

Record 5
DyCdHg2 after structural relaxation, computed with PBE.

Structure (POSCAR):
```
DyCdHg2
1.0
-2.620 -0.571 -2.512
1.020 -3.520 -0.263
-4.619 -1.726 5.210
Cd Hg Dy
1 2 1
direct
0.500 0.500 0.500
0.000 0.000 0.745
0.000 0.000 0.255
0.500 0.500 0.000
```

Summary:
**SG**: P4/mmm, No. 123
**E above lowest polymorph**: 2.02 kcal/mol of atoms

---

Record 6
Dy4Cd3Hg after structural relaxation, computed with PBE.

Structure (POSCAR):
```
Dy4Cd3Hg
1.0
-0.592 -2.682 2.392
4.457 -1.791 -0.904
4.499 6.791 8.728
Dy Cd Hg
4 3 1
direct
0.500 0.500 0.340
0.000 0.500 0.844
0.000 0.000 0.156
0.500 0.000 0.659
0.000 0.500 0.574
0.000 0.000 0.425
0.500 0.000 0.925
0.500 0.500 0.078
```

Summary:
**SG**: Pmm2, No. 25
**E above lowest polymorph**: 1.24 kcal/mol of atoms

---

Record 7
DyCdHg6 after structural relaxation, computed with PBE.

Structure (POSCAR):
```
DyCdHg6
1.0
-2.162 -3.711 -1.952
0.292 -2.325 4.095
-7.739 3.248 2.396
Dy Cd Hg
1 1 6
direct
0.000 0.000 0.500
0.000 0.000 0.000
0.500 0.500 0.000
0.500 0.500 0.500
0.500 0.000 0.248
0.500 0.000 0.752
0.000 0.500 0.248
0.000 0.500 0.752
```

Summary:
**SG**: P4/mmm, No. 123
**E above lowest polymorph**: 0.00 kcal/mol of atoms

---

Record 8
Dy2CdHg after structural relaxation, computed with PBE.

Structure (POSCAR):
```
Dy2CdHg
1.0
3.769 0.000 0.000
0.000 5.247 0.000
0.000 0.000 5.247
Cd Hg Dy
1 1 2
direct
0.500 0.000 0.000
0.500 0.500 0.500
0.000 0.000 0.500
0.000 0.500 0.000
```

Summary:
**SG**: P4/mmm, No. 123
**DFT total energy**: -3.00 eV per atom

---

Record 9
DyCd2Hg3 after structural relaxation, computed with PBE.

Structure (POSCAR):
```
DyCd2Hg3
1.0
5.117 0.000 0.000
-2.558 4.431 0.000
0.000 0.000 12.500
Dy Cd Hg
2 4 6
direct
0.333 0.667 0.662
0.667 0.333 0.338
0.000 0.000 0.500
0.333 0.667 0.168
0.667 0.333 0.832
0.000 0.000 0.000
0.333 0.667 0.415
0.667 0.333 0.085
0.000 0.000 0.753
0.000 0.000 0.247
0.333 0.667 0.915
0.667 0.333 0.585
```

Summary:
**SG**: P-3m1, No. 164
**E above lowest polymorph**: 0.00 kcal/mol of atoms

---

Record 10
Dy2CdHg6 after structural relaxation, computed with PBE.

Structure (POSCAR):
```
Dy2CdHg6
1.0
5.791 0.000 1.332
0.000 8.775 0.000
-1.143 -4.387 4.041
Dy Cd Hg
2 1 6
direct
0.679 0.674 0.348
0.321 0.326 0.652
0.000 0.000 0.000
0.169 0.502 0.334
0.831 0.167 0.666
0.831 0.498 0.666
0.500 0.165 0.000
0.169 0.833 0.334
0.500 0.835 0.000
```

Summary:
**SG**: C2/m, No. 12
**E above lowest polymorph**: 0.93 kcal/mol of atoms

---

Record 11
Dy4Cd3Hg after structural relaxation, computed with PBE.

Structure (POSCAR):
```
Dy4Cd3Hg
1.0
-1.280 2.656 2.303
-2.051 -2.555 1.806
11.399 -2.573 9.304
Cd Hg Dy
3 1 4
direct
0.500 0.500 0.251
0.500 0.500 0.500
0.500 0.500 0.749
0.500 0.500 0.000
0.000 0.000 0.877
0.000 0.000 0.123
0.000 0.000 0.374
0.000 0.000 0.626
```

Summary:
**SG**: P4/mmm, No. 123
**E above lowest polymorph**: 0.00 kcal/mol of atoms

---

Record 12
Dy3Cd4Hg2 after structural relaxation, computed with PBE.

Structure (POSCAR):
```
Dy3Cd4Hg2
1.0
3.846 0.000 0.000
0.000 8.117 0.000
0.000 -4.059 7.030
Dy Cd Hg
3 4 2
direct
0.500 0.000 0.401
0.500 0.401 0.000
0.500 0.599 0.599
0.500 0.000 0.000
0.000 0.270 0.270
0.000 0.730 0.000
0.000 0.000 0.730
0.000 0.667 0.333
0.000 0.333 0.667
```

Summary:
**SG**: P-62m, No. 189
**E above lowest polymorph**: 0.00 kcal/mol of atoms

---

Record 13
Dy2CdHg8 after structural relaxation, computed with PBE.

Structure (POSCAR):
```
Dy2CdHg8
1.0
4.796 0.000 0.000
0.000 6.859 0.074
-2.398 -2.824 8.233
Dy Cd Hg
2 1 8
direct
0.788 0.319 0.577
0.212 0.681 0.423
0.500 0.000 0.000
0.390 0.579 0.781
0.651 0.888 0.302
0.835 0.808 0.670
0.974 0.273 0.949
0.165 0.192 0.330
0.349 0.112 0.698
0.610 0.421 0.219
0.026 0.727 0.051
```

Summary:
**SG**: C2/m, No. 12
**E above lowest polymorph**: 0.61 kcal/mol of atoms

---

Record 14
Dy6CdHg after structural relaxation, computed with PBE.

Structure (POSCAR):
```
Dy6CdHg
1.0
-2.629 0.005 4.332
4.182 1.325 2.536
-1.226 9.333 2.209
Dy Cd Hg
6 1 1
direct
0.751 0.751 0.499
0.613 0.113 0.773
0.113 0.613 0.773
0.387 0.887 0.227
0.249 0.249 0.501
0.887 0.387 0.227
0.000 0.000 0.000
0.500 0.500 0.000
```

Summary:
**SG**: I4/mmm, No. 139
**DFT total energy**: -3.79 eV per atom

---

Record 15
Dy4Cd2Hg after structural relaxation, computed with PBE.

Structure (POSCAR):
```
Dy4Cd2Hg
1.0
4.985 0.000 1.557
2.249 4.448 1.557
-0.057 -0.035 8.938
Cd Hg Dy
2 1 4
direct
0.749 0.749 0.753
0.251 0.251 0.247
0.000 0.000 0.000
0.872 0.872 0.384
0.128 0.128 0.616
0.620 0.620 0.140
0.380 0.380 0.860
```

Summary:
**SG**: R-3m, No. 166
**DFT total energy**: -3.12 eV per atom

---

Record 16
Dy7Cd6Hg16 after structural relaxation, computed with PBE.

Structure (POSCAR):
```
Dy7Cd6Hg16
1.0
-5.399 -0.215 8.527
4.443 -2.453 8.726
1.460 7.049 7.077
Dy Cd Hg
7 6 16
direct
0.000 0.000 0.000
0.500 0.000 0.500
0.000 0.500 0.000
0.000 0.500 0.500
0.500 0.000 0.000
0.000 0.000 0.500
0.500 0.500 0.000
0.246 0.754 0.246
0.754 0.246 0.754
0.754 0.246 0.246
0.246 0.754 0.754
0.754 0.754 0.246
0.246 0.246 0.754
0.871 0.871 0.387
0.871 0.871 0.871
0.871 0.387 0.871
0.387 0.871 0.871
0.129 0.129 0.129
0.129 0.129 0.613
0.129 0.613 0.129
0.613 0.129 0.129
0.621 0.621 0.137
0.621 0.621 0.621
0.621 0.137 0.621
0.137 0.621 0.621
0.379 0.379 0.379
0.379 0.379 0.863
0.379 0.863 0.379
0.863 0.379 0.379
```

Summary:
**SG**: Fm-3m, No. 225
**DFT total energy**: -1.76 eV per atom

---

Record 17
DyCd3Hg2 after structural relaxation, computed with PBE.

Structure (POSCAR):
```
DyCd3Hg2
1.0
5.755 0.000 0.000
0.000 5.881 -3.000
0.000 0.598 8.436
Dy Cd Hg
2 6 4
direct
0.750 0.353 0.705
0.250 0.647 0.295
0.750 0.840 0.681
0.250 0.160 0.319
0.750 0.931 0.349
0.250 0.069 0.651
0.750 0.418 0.349
0.250 0.582 0.651
0.000 0.752 0.000
0.500 0.248 0.000
0.000 0.248 0.000
0.500 0.752 0.000
```

Summary:
**SG**: Cmcm, No. 63
**E above lowest polymorph**: 1.34 kcal/mol of atoms

---

Record 18
Dy2CdHg after structural relaxation, computed with PBE.

Structure (POSCAR):
```
Dy2CdHg
1.0
-2.892 0.680 -4.359
-4.659 -2.427 -0.480
-4.466 2.800 0.208
Cd Hg Dy
1 1 2
direct
0.500 0.500 0.500
0.000 0.000 0.000
0.250 0.250 0.250
0.750 0.750 0.750
```

Summary:
**SG**: Fm-3m, No. 225
**DFT total energy**: -3.00 eV per atom

---

Record 19
DyCdHg4 after structural relaxation, computed with PBE.

Structure (POSCAR):
```
DyCdHg4
1.0
-3.243 -3.121 -0.128
1.049 -1.261 4.192
-5.518 5.605 3.069
Dy Cd Hg
1 1 4
direct
0.501 0.497 0.998
0.001 0.998 0.498
0.501 0.997 0.251
0.501 0.997 0.745
0.001 0.497 0.745
0.001 0.497 0.251
```

Summary:
**SG**: P4/mmm, No. 123
**E above lowest polymorph**: 2.34 kcal/mol of atoms

---

Record 20
Dy2Cd2Hg after structural relaxation, computed with PBE.

Structure (POSCAR):
```
Dy2Cd2Hg
1.0
-0.260 -1.516 -3.059
-2.336 -3.635 2.000
-7.818 1.784 -0.220
Dy Cd Hg
2 2 1
direct
0.500 0.389 0.223
0.500 0.611 0.777
0.000 0.200 0.600
0.000 0.800 0.400
0.000 0.000 0.000
```

Summary:
**SG**: Cmmm, No. 65
**E above lowest polymorph**: 0.00 kcal/mol of atoms